[1]
Entry from the Open Quantum Materials Database: crystalline Zn2Hg2SeF6 at its relaxed geometry (PBE).

Cell lengths 7.666, 7.666, 7.666 Å; angles 60.00, 60.00, 60.00 degrees
Positions (direct):
Zn 0.625 0.125 0.625
Zn 0.625 0.625 0.625
Zn 0.625 0.625 0.125
Zn 0.125 0.625 0.625
F 0.695 0.305 0.305
F 0.695 0.695 0.305
F 0.945 0.555 0.555
F 0.305 0.305 0.695
F 0.555 0.945 0.555
F 0.305 0.695 0.305
F 0.945 0.555 0.945
F 0.305 0.695 0.695
F 0.945 0.945 0.555
F 0.555 0.945 0.945
F 0.695 0.305 0.695
F 0.555 0.555 0.945
Hg 0.125 0.625 0.125
Hg 0.625 0.125 0.125
Hg 0.125 0.125 0.125
Hg 0.125 0.125 0.625
Se 0.000 0.000 0.000
Se 0.250 0.250 0.250

Computed properties:
SG = Fd-3m (227)



[2]
Entry from the Open Quantum Materials Database: crystalline Cu7Ag3 at its relaxed geometry (PBE).

Cell lengths 21.386, 21.386, 21.386 Å; angles 7.33, 7.33, 7.33 degrees
Positions (direct):
Ag 0.799 0.799 0.799
Ag 0.302 0.302 0.302
Ag 0.899 0.899 0.899
Cu 0.501 0.501 0.501
Cu 0.004 0.004 0.004
Cu 0.399 0.399 0.399
Cu 0.701 0.701 0.701
Cu 0.097 0.097 0.097
Cu 0.198 0.198 0.198
Cu 0.601 0.601 0.601

Computed properties:
E above lowest polymorph = 0.061 eV per atom
SG = R3m (160)
calculated formation energy = 0.106 eV per atom



[3]
Entry from the Open Quantum Materials Database: crystalline Tm5CuTe3 at its relaxed geometry (PBE).

Cell lengths 8.333, 8.333, 3.929 Å; angles 90.00, 90.00, 120.00 degrees
Positions (direct):
Te 0.274 0.000 0.500
Te 0.726 0.726 0.500
Te 0.000 0.274 0.500
Tm 0.667 0.333 0.500
Tm 0.333 0.667 0.500
Tm 0.333 0.333 0.000
Tm 0.667 0.000 0.000
Tm 0.000 0.667 0.000
Cu 0.000 0.000 0.000

Computed properties:
E above lowest polymorph = 0.033 eV per atom
SG = P-62m (189)



Respective raw total energy values: -3.28 -3.34 -4.40 eV per atom.